Entry 1:
CeNdDy | PBE | optimized geometry

Calculated values
The density of states at the Fermi level is 2.19 states/eV per atom. For the magnetic moment, the calculation gives 0.508 μB/f.u. Its space group is P-1. For the energy of formation from the pure elements, the calculation gives 0.07 eV per atom.

abc: 6.1301 3.5480 15.4743
angles: 103.31 37.68 90.01
With the nearest neighbours (Å) after each atom.
Fractional positions:
Ce 0.7604 0.7758 0.5768  6 Ce 3.48-3.60, 3 Nd 3.51-3.52, 3 Dy 3.51-3.52
Ce 0.2756 0.2758 0.5741  6 Ce 3.48-3.60, 3 Nd 3.51-3.52, 3 Dy 3.51-3.52
Nd 0.4541 0.1015 0.8994  3 Ce 3.51-3.52, 5 Dy 3.54-3.66, 4 Nd 3.55-3.71
Nd 0.5821 0.9499 0.2514  3 Ce 3.51-3.52, 5 Dy 3.54-3.66, 4 Nd 3.55-3.71
Dy 0.9443 0.6053 0.9040  3 Ce 3.51-3.52, 5 Nd 3.54-3.66, 4 Dy 3.55-3.64
Dy 0.0918 0.4463 0.2469  3 Ce 3.51-3.52, 5 Nd 3.54-3.66, 4 Dy 3.55-3.64

=====

Entry 2:
CeNd4Dy15 | PBE | optimized geometry

Calculated values
The density of states at the Fermi level is 1.41 states/eV per atom. For the magnetic moment, the calculation gives 0.904 μB/f.u. Its space group is P4/mmm. For the energy of formation from the pure elements, the calculation gives 0.03 eV per atom.

abc: 5.0578 5.0578 25.1436
angles: 90.00 90.00 90.00
With the nearest neighbours (Å) after each atom.
Fractional positions:
Ce 0.0000 0.0000 0.0000  12 Dy 3.53-3.58
Nd 0.0000 0.0000 0.1983  12 Dy 3.58
Nd 0.0000 0.0000 0.3995  12 Dy 3.57-3.58
Nd 0.0000 0.0000 0.6005  12 Dy 3.57-3.58
Nd 0.0000 0.0000 0.8017  12 Dy 3.58
Dy 0.5000 0.5000 0.0000  8 Dy 3.53, 4 Ce 3.58
Dy 0.5000 0.5000 0.1992  8 Dy 3.56-3.59, 4 Nd 3.58
Dy 0.5000 0.5000 0.3995  8 Dy 3.57-3.58, 4 Nd 3.58
Dy 0.5000 0.5000 0.6005  8 Dy 3.57-3.58, 4 Nd 3.58
Dy 0.5000 0.5000 0.8008  8 Dy 3.56-3.59, 4 Nd 3.58
Dy 0.5000 0.0000 0.0978  8 Dy 3.53-3.59, 2 Ce 3.53, 2 Nd 3.58
Dy 0.5000 0.0000 0.2990  8 Dy 3.56-3.58, 4 Nd 3.58
Dy 0.5000 0.0000 0.5000  8 Dy 3.57-3.58, 4 Nd 3.57
Dy 0.5000 0.0000 0.7010  8 Dy 3.56-3.58, 4 Nd 3.58
Dy 0.5000 0.0000 0.9022  8 Dy 3.53-3.59, 2 Ce 3.53, 2 Nd 3.58
Dy 0.0000 0.5000 0.0978  8 Dy 3.53-3.59, 2 Ce 3.53, 2 Nd 3.58
Dy 0.0000 0.5000 0.2990  8 Dy 3.56-3.58, 4 Nd 3.58
Dy 0.0000 0.5000 0.5000  8 Dy 3.57-3.58, 4 Nd 3.57
Dy 0.0000 0.5000 0.7010  8 Dy 3.56-3.58, 4 Nd 3.58
Dy 0.0000 0.5000 0.9022  8 Dy 3.53-3.59, 2 Ce 3.53, 2 Nd 3.58

=====

Entry 3:
Ce2Nd5Dy5 | PBE | optimized geometry

Calculated values
The density of states at the Fermi level is 1.86 states/eV per atom. For the magnetic moment, the calculation gives 1.567 μB/f.u. Its space group is C2/m. For the energy of formation from the pure elements, the calculation gives 0.05 eV per atom.

abc: 5.0631 10.8062 8.0318
angles: 98.49 71.63 76.45
With the nearest neighbours (Å) after each atom.
Fractional positions:
Ce 0.3292 0.5012 0.8404  5 Nd 3.51-3.64, 2 Ce 3.51, 5 Dy 3.54-3.62
Ce 0.6708 0.4988 0.1596  5 Nd 3.51-3.64, 2 Ce 3.51, 5 Dy 3.54-3.62
Nd 0.6658 0.2533 0.4151  7 Dy 3.57-3.63, 2 Ce 3.59-3.64, 3 Nd 3.61
Nd 0.9959 0.2543 0.7538  3 Ce 3.51-3.57, 6 Dy 3.57-3.65, 3 Nd 3.61
Nd 0.0041 0.7457 0.2462  3 Ce 3.51-3.57, 6 Dy 3.57-3.65, 3 Nd 3.61
Nd 0.3342 0.7467 0.5849  7 Dy 3.57-3.63, 2 Ce 3.59-3.64, 3 Nd 3.61
Nd 0.0000 0.0000 0.0000  8 Dy 3.59-3.62, 4 Nd 3.61
Dy 0.0000 0.5000 0.5000  6 Nd 3.57-3.58, 2 Dy 3.58, 4 Ce 3.62
Dy 0.6689 0.7462 0.9159  3 Ce 3.54-3.56, 6 Nd 3.57-3.62, 3 Dy 3.58-3.64
Dy 0.3337 0.9985 0.3341  4 Dy 3.57-3.64, 8 Nd 3.59-3.65
Dy 0.6663 0.0015 0.6659  4 Dy 3.57-3.64, 8 Nd 3.59-3.65
Dy 0.3311 0.2538 0.0841  3 Ce 3.54-3.56, 6 Nd 3.57-3.62, 3 Dy 3.58-3.64

=====

Entry 4:
CeNd14Dy | PBE | optimized geometry

Calculated values
The density of states at the Fermi level is 1.88 states/eV per atom. For the magnetic moment, the calculation gives 1.192 μB/f.u. Its space group is P4/mmm. For the energy of formation from the pure elements, the calculation gives 0.03 eV per atom.

abc: 7.3285 7.3285 10.3788
angles: 90.00 90.00 90.00
With the nearest neighbours (Å) after each atom.
Fractional positions:
Ce 0.8749 0.1251 0.0000  12 Nd 3.64-3.67
Nd 0.3748 0.6252 0.5000  12 Nd 3.66-3.70
Nd 0.8750 0.1250 0.5000  12 Nd 3.66-3.68
Nd 0.8750 0.6248 0.0000  8 Nd 3.64-3.65, 2 Ce 3.66-3.67, 2 Dy 3.66-3.67
Nd 0.8751 0.6252 0.5000  12 Nd 3.66-3.69
Nd 0.3752 0.1250 0.0000  8 Nd 3.64-3.65, 2 Ce 3.66-3.67, 2 Dy 3.66-3.67
Nd 0.3748 0.1249 0.5000  12 Nd 3.66-3.69
Nd 0.6260 0.8760 0.7530  1 Ce 3.64, 10 Nd 3.64-3.70, 1 Dy 3.65
Nd 0.6260 0.8760 0.2470  1 Ce 3.64, 10 Nd 3.64-3.70, 1 Dy 3.65
Nd 0.1240 0.3740 0.7530  1 Ce 3.64, 10 Nd 3.64-3.70, 1 Dy 3.65
Nd 0.1240 0.3740 0.2470  1 Ce 3.64, 10 Nd 3.64-3.70, 1 Dy 3.65
Nd 0.1240 0.8760 0.7532  1 Ce 3.64, 10 Nd 3.64-3.70, 1 Dy 3.65
Nd 0.1240 0.8760 0.2468  1 Ce 3.64, 10 Nd 3.64-3.70, 1 Dy 3.65
Nd 0.6259 0.3741 0.7527  1 Ce 3.64, 10 Nd 3.65-3.69, 1 Dy 3.65
Nd 0.6259 0.3741 0.2473  1 Ce 3.64, 10 Nd 3.65-3.69, 1 Dy 3.65
Dy 0.3753 0.6247 0.0000  12 Nd 3.65-3.67

=====

Entry 5:
CeNd6Dy8 | PBE | optimized geometry

Calculated values
The density of states at the Fermi level is 1.70 states/eV per atom. For the magnetic moment, the calculation gives 1.277 μB/f.u. Its space group is R-3. For the energy of formation from the pure elements, the calculation gives 0.12 eV per atom.

abc: 8.7213 8.7213 8.7213
angles: 63.02 63.02 63.02
With the nearest neighbours (Å) after each atom.
Fractional positions:
Ce 0.0000 0.0000 0.0000  6 Nd 3.46, 6 Dy 3.53
Nd 0.8975 0.4601 0.7717  4 Dy 3.41-3.68, 1 Ce 3.46, 4 Nd 3.56-3.80
Nd 0.2283 0.1025 0.5399  4 Dy 3.41-3.68, 1 Ce 3.46, 4 Nd 3.56-3.80
Nd 0.5399 0.2283 0.1025  4 Dy 3.41-3.68, 1 Ce 3.46, 4 Nd 3.56-3.80
Nd 0.4601 0.7717 0.8975  4 Dy 3.41-3.68, 1 Ce 3.46, 4 Nd 3.56-3.80
Nd 0.7717 0.8975 0.4601  4 Dy 3.41-3.68, 1 Ce 3.46, 4 Nd 3.56-3.80
Nd 0.1025 0.5399 0.2283  4 Dy 3.41-3.68, 1 Ce 3.46, 4 Nd 3.56-3.80
Dy 0.1126 0.7147 0.7538  3 Nd 3.41-3.68, 5 Dy 3.44-3.47, 1 Ce 3.53
Dy 0.2462 0.8874 0.2853  3 Nd 3.41-3.68, 5 Dy 3.44-3.47, 1 Ce 3.53
Dy 0.2853 0.2462 0.8874  3 Nd 3.41-3.68, 5 Dy 3.44-3.47, 1 Ce 3.53
Dy 0.5770 0.5770 0.5770  4 Dy 3.21-3.44, 3 Nd 3.45
Dy 0.4230 0.4230 0.4230  4 Dy 3.21-3.44, 3 Nd 3.45
Dy 0.7147 0.7538 0.1126  3 Nd 3.41-3.68, 5 Dy 3.44-3.47, 1 Ce 3.53
Dy 0.7538 0.1126 0.7147  3 Nd 3.41-3.68, 5 Dy 3.44-3.47, 1 Ce 3.53
Dy 0.8874 0.2853 0.2462  3 Nd 3.41-3.68, 5 Dy 3.44-3.47, 1 Ce 3.53

=====

Entry 6:
CeNdDy6 | PBE | optimized geometry

Calculated values
The density of states at the Fermi level is 1.51 states/eV per atom. For the magnetic moment, the calculation gives 0.807 μB/f.u. Its space group is P4/mmm. For the energy of formation from the pure elements, the calculation gives 0.04 eV per atom.

abc: 5.0304 5.0304 10.0490
angles: 90.00 90.00 90.00
With the nearest neighbours (Å) after each atom.
Fractional positions:
Ce 0.0000 0.0000 0.5000  12 Dy 3.53-3.56
Nd 0.0000 0.0000 0.0000  12 Dy 3.56-3.58
Dy 0.5000 0.5000 0.0000  4 Nd 3.56, 8 Dy 3.58
Dy 0.5000 0.5000 0.5000  8 Dy 3.53, 4 Ce 3.56
Dy 0.5000 0.0000 0.2536  8 Dy 3.53-3.58, 2 Ce 3.53, 2 Nd 3.58
Dy 0.5000 0.0000 0.7464  8 Dy 3.53-3.58, 2 Ce 3.53, 2 Nd 3.58
Dy 0.0000 0.5000 0.2536  8 Dy 3.53-3.58, 2 Ce 3.53, 2 Nd 3.58
Dy 0.0000 0.5000 0.7464  8 Dy 3.53-3.58, 2 Ce 3.53, 2 Nd 3.58